1.
Below is crystalline LaHoAsS at its relaxed geometry, with properties calculated at the PBE level.

Geometry as extended XYZ:
```
4
Lattice="-3.2721 -2.4481 0.6533 -0.5522 -1.7730 3.6984 -4.8633 3.9290 3.4728" Properties=species:S:1:pos:R:3 pbc="T T T"
Ho -6.5061 -0.2333 5.8630
As -4.8018 3.8375 3.4381
S -4.4084 -0.0499 3.9487
La -2.1784 -0.0634 1.9598
```

Formation energy without anion corrections, eV per formula unit: -7.31
E, Ry/atom: -0.4703
Magnetization, μB per cell: 0.00


2.
Below is crystalline Cs2NaMnH6 at its relaxed geometry, with properties calculated at the PBE level.

Geometry as extended XYZ:
```
10
Lattice="-2.9462 4.6781 0.8173 -5.1277 -2.8572 -2.1299 1.3817 -0.1932 6.0866" Properties=species:S:1:pos:R:3 pbc="T T T"
Cs -5.2824 1.7218 1.2538
Mn 0.0000 0.0000 0.0000
H -1.8863 3.3361 5.7137
Cs -1.4098 -0.0941 3.5202
H -3.9534 -1.8277 2.8158
H -2.7388 3.4554 1.9583
H -5.0500 1.5733 4.3995
H -1.6421 0.0544 0.3745
H -4.8059 -1.7085 -0.9396
Na -1.4731 2.3391 0.4087
```

E, Ry/atom: -0.2482
Magnetization, μB per cell: 2.00


3.
Below is crystalline Sr8P3Br3N at its relaxed geometry, with properties calculated at the PBE level.

Geometry as extended XYZ:
```
15
Lattice="8.7320 0.0000 0.0000 -4.3660 7.5617 -0.0288 0.0000 -5.0150 7.4787" Properties=species:S:1:pos:R:3 pbc="T T T"
Sr 0.0000 -0.1631 5.1918
P 2.1830 1.2734 3.7249
Br 0.0000 0.0000 0.0000
N 0.0000 -2.5075 3.7393
Sr 6.7051 -1.3431 2.2726
Sr 0.0000 2.5273 2.1651
Br 2.1830 3.7809 -0.0144
P 4.3660 -2.5075 3.7393
Sr 4.3660 0.0194 5.2847
Sr -2.3391 3.8899 5.1773
Sr 4.3660 2.7098 2.2581
Br -2.1830 3.7809 -0.0144
P -2.1830 1.2734 3.7249
Sr 2.3391 3.8899 5.1773
Sr 2.0269 -1.3431 2.2726
```

Formation energy without anion corrections, eV per formula unit: -19.67
E, Ry/atom: -0.3072
Magnetization, μB per cell: 0.92


4.
Below is crystalline YP2Au at its relaxed geometry, with properties calculated at the PBE level.

Geometry as extended XYZ:
```
4
Lattice="5.2668 -0.0828 0.0000 1.9781 4.8819 0.0000 -3.6225 -2.3996 2.9776" Properties=species:S:1:pos:R:3 pbc="T T T"
Au 2.6334 -0.0414 1.4888
P 0.0000 0.0000 0.0000
Y 0.9891 2.4410 1.4888
P 3.6225 2.3996 0.0000
```

E, Ry/atom: -0.3961
Magnetization, μB per cell: 0.00
DFT formation energy, eV per atom: -0.249